A plane-wave DFT calculation with PBE was carried out for a relaxed structure of ZrTa3Au.

Summary:
DFT formation energy, eV/f.u.: 9.6
VASP energy, eV per cell: -37.744
Total moment, Bohr magnetons per cell: 0.00
Density, Mg/m³: 12.007

Geometry as POSCAR:
```
ZrTa3Au
1.0
4.8620 0.0000 0.0000
0.0000 4.8620 0.0000
0.0000 0.0000 4.8620
Zr Ta Au
1 3 1
direct
0.0000 0.0000 0.0000
0.0000 0.0000 0.5000
0.0000 0.5000 0.0000
0.5000 0.0000 0.0000
0.5000 0.5000 0.5000
```

=====

A plane-wave DFT calculation with PBE was carried out for a relaxed structure of ZrTa4Au.

Summary:
DFT formation energy, eV/f.u.: 1.1
VASP energy, eV per cell: -58.088
Total moment, Bohr magnetons per cell: 0.00
Density, Mg/m³: 14.243

Geometry as POSCAR:
```
ZrTa4Au
1.0
0.0000 3.8928 3.8928
3.8928 0.0000 3.8928
3.8928 3.8928 0.0000
Zr Ta Au
1 4 1
direct
0.0000 0.0000 0.0000
0.3731 0.3731 0.3731
0.3731 0.3731 0.8806
0.3731 0.8806 0.3731
0.8806 0.3731 0.3731
0.7500 0.7500 0.7500
```

=====

A plane-wave DFT calculation with PBE was carried out for a relaxed structure of ZrTa2Au.

Summary:
DFT formation energy, eV/f.u.: 0.0
VASP energy, eV per cell: -142.295
Total moment, Bohr magnetons per cell: 0.00
Density, Mg/m³: 14.287

Geometry as POSCAR:
```
ZrTa2Au
1.0
6.7109 0.0000 0.0000
0.0000 6.7109 0.0000
0.0000 0.0000 6.7109
Zr Ta Au
4 8 4
direct
0.0000 0.0000 0.0000
0.0000 0.5000 0.5000
0.5000 0.0000 0.5000
0.5000 0.5000 0.0000
0.0000 0.0000 0.5000
0.0000 0.5000 0.0000
0.2500 0.2500 0.7500
0.2500 0.7500 0.2500
0.5000 0.0000 0.0000
0.5000 0.5000 0.5000
0.7500 0.2500 0.2500
0.7500 0.7500 0.7500
0.2500 0.2500 0.2500
0.2500 0.7500 0.7500
0.7500 0.2500 0.7500
0.7500 0.7500 0.2500
```